Entry 1:
Computed, not measured: TiRu3 at its PBEsol-relaxed geometry at the meta-GGA SCAN level of DFT.

Structure (POSCAR):
```
TiRu3
1.0
3.8029 0.0000 0.0000
0.0000 3.8029 0.0000
0.0000 0.0000 3.8029
Ti Ru
1 3
Direct
0.0000 0.0000 0.0000
0.0000 0.5000 0.5000
0.5000 0.0000 0.5000
0.5000 0.5000 0.0000
```

Magnetization (μB/atom): 0.000
Formation energy from the elements (eV/atom): -0.232
DFT total energy (eV/cell): -121.436
Space-group type: Pm-3m


Entry 2:
Computed, not measured: LaP2W at its PBEsol-relaxed geometry at the meta-GGA SCAN level of DFT.

Structure (POSCAR):
```
LaP2W
1.0
0.0000 3.2834 3.2834
3.2834 0.0000 3.2834
3.2834 3.2834 0.0000
La P W
1 2 1
Direct
0.0000 0.0000 0.0000
0.2500 0.2500 0.2500
0.5000 0.5000 0.5000
0.7500 0.7500 0.7500
```

Magnetization (μB/atom): 0.001
Formation energy from the elements (eV/atom): 0.702
DFT total energy (eV/cell): -130.783
Space-group type: F-43m


Entry 3:
Computed, not measured: MgZrAs at its PBEsol-relaxed geometry at the meta-GGA SCAN level of DFT.

Structure (POSCAR):
```
MgZrAs
1.0
4.3339 0.0000 0.0000
-2.1670 3.7533 0.0000
0.0000 0.0000 3.4859
Mg Zr As
1 1 1
Direct
0.0000 0.0000 0.0000
0.6667 0.3333 0.5000
0.3333 0.6667 0.0000
```

Magnetization (μB/atom): 0.000
Formation energy from the elements (eV/atom): -0.288
DFT total energy (eV/cell): -56.727
Space-group type: P-6m2


Entry 4:
Computed, not measured: ZrPt3Br at its PBEsol-relaxed geometry at the meta-GGA SCAN level of DFT.

Structure (POSCAR):
```
ZrPt3Br
1.0
4.9298 0.0000 0.0000
0.0000 4.9298 0.0000
0.0000 0.0000 4.9298
Zr Pt Br
1 3 1
Direct
0.0000 0.0000 0.0000
0.0000 0.0000 0.5000
0.0000 0.5000 0.0000
0.5000 0.0000 0.0000
0.5000 0.5000 0.5000
```

Raw formation energy (eV/atom): 0.9616
Magnetization (μB/atom): 0.000
DFT total energy (eV/cell): -255.930
Space-group type: Pm-3m


Entry 5:
Computed, not measured: SrMnAl2 at its PBEsol-relaxed geometry at the meta-GGA SCAN level of DFT.

Structure (POSCAR):
```
SrMnAl2
1.0
0.0000 3.4208 3.4208
3.4208 0.0000 3.4208
3.4208 3.4208 0.0000
Sr Mn Al
1 1 2
Direct
0.0000 0.0000 0.0000
0.5000 0.5000 0.5000
0.2500 0.2500 0.2500
0.7500 0.7500 0.7500
```

Magnetization (μB/atom): 0.954
Formation energy from the elements (eV/atom): 0.055
DFT total energy (eV/cell): -55.813
Space-group type: Fm-3m


Entry 6:
Computed, not measured: SrCaLa2 at its PBEsol-relaxed geometry at the meta-GGA SCAN level of DFT.

Structure (POSCAR):
```
SrCaLa2
1.0
1.8997 1.0968 12.6542
-1.8997 1.0968 12.6542
0.0000 -2.1935 12.6542
Sr Ca La
1 1 2
Direct
0.0000 0.0000 0.0000
0.7556 0.7556 0.7556
0.2460 0.2460 0.2460
0.5050 0.5050 0.5050
```

Magnetization (μB/atom): 0.030
Formation energy from the elements (eV/atom): 0.068
DFT total energy (eV/cell): -117.878
Space-group type: R3m


Entry 7:
Computed, not measured: AlAsI3 at its PBEsol-relaxed geometry at the meta-GGA SCAN level of DFT.

Structure (POSCAR):
```
AlAsI3
1.0
5.5199 0.0000 0.0000
0.0000 5.5199 0.0000
0.0000 0.0000 5.5199
Al As I
1 1 3
Direct
0.0000 0.0000 0.0000
0.5000 0.5000 0.5000
0.0000 0.0000 0.5000
0.0000 0.5000 0.0000
0.5000 0.0000 0.0000
```

Raw formation energy (eV/atom): 0.2844
Magnetization (μB/atom): 0.532
DFT total energy (eV/cell): -136.745
Space-group type: Pm-3m


Entry 8:
Computed, not measured: ZrSb2Au at its PBEsol-relaxed geometry at the meta-GGA SCAN level of DFT.

Structure (POSCAR):
```
ZrSb2Au
1.0
3.8449 0.0000 0.0000
0.0000 3.8449 0.0000
0.0000 0.0000 5.9266
Zr Sb Au
1 2 1
Direct
0.0000 0.0000 0.0000
0.0000 0.0000 0.4802
0.5000 0.5000 0.8232
0.5000 0.5000 0.2989
```

Raw formation energy (eV/atom): -0.4339
Magnetization (μB/atom): 0.000
DFT total energy (eV/cell): -176.113
Space-group type: P4mm